First-principles (PBE) data for a relaxed MgBiAu crystal, as listed in Alexandria.

Cell and atoms, written as POSCAR:
```
MgBiAu
1.0
7.353 0.000 0.000
0.000 6.191 0.000
0.000 0.000 6.286
Mg Bi Au
4 4 4
Direct
0.000 0.000 0.000 Mg
0.000 0.500 0.000 Mg
0.500 0.000 0.500 Mg
0.500 0.500 0.500 Mg
0.137 0.250 0.411 Bi
0.363 0.750 0.911 Bi
0.637 0.250 0.089 Bi
0.863 0.750 0.589 Bi
0.201 0.750 0.345 Au
0.299 0.250 0.845 Au
0.701 0.750 0.155 Au
0.799 0.250 0.655 Au
```

Computed properties:
D(E_F)	4.71	states/eV per cell
total magnetization	0.00	μB/cell
ΔE_f	-179	meV/atom
electronic total energy	-37.156	eV per cell